A relaxed structure of Re4H, computed with PBE.

E (hartree per atom): -0.385
Space-group type: No. 221
Calculated volume (Å³/cell): 61.99

Lattice parameters (Å, degrees): 3.9576 3.9576 3.9576 90.00 90.00 90.00
Positions (direct):
Re: 0.0000 0.0000 0.0000
Re: 0.0000 0.5000 0.5000
Re: 0.5000 0.0000 0.5000
Re: 0.5000 0.5000 0.0000
H: 0.5000 0.5000 0.5000